[1]
# LiCdRh2N

Crystalline LiCdRh2N at its relaxed geometry (PBE-GGA, Alexandria).

Unit cell a=4.042 b=4.042 c=4.157 alpha=90.00 beta=90.00 gamma=90.00
Sites, in units of the cell vectors:
1 Cd 0.500 0.500 0.500
2 N 0.000 0.000 0.000
3 Rh 0.000 0.500 0.000
4 Li 0.000 0.000 0.500
5 Rh 0.500 0.000 0.000

Properties
raw formation energy	-194	meV/atom
uncorrected energy	-5.366	eV/atom
magnetization	0.26	μB/f.u.
space-group type	P4/mmm

=====

[2]
# Li2CdRuN

Crystalline Li2CdRuN at its relaxed geometry (PBE-GGA, Alexandria).

Unit cell a=4.173 b=4.173 c=3.830 alpha=90.00 beta=90.00 gamma=90.00
Sites, in units of the cell vectors:
1 Li 0.000 0.500 0.000
2 Cd 0.500 0.500 0.500
3 Ru 0.000 0.000 0.500
4 Li 0.500 0.000 0.000
5 N 0.000 0.000 0.000

Properties
raw formation energy	-225	meV/atom
uncorrected energy	-4.694	eV/atom
magnetization	0.00	μB/f.u.
space-group type	P4/mmm

=====

[3]
# LiCdRuN2

Crystalline LiCdRuN2 at its relaxed geometry (PBE-GGA, Alexandria).

Unit cell a=3.834 b=5.441 c=3.834 alpha=90.00 beta=90.00 gamma=90.00
Sites, in units of the cell vectors:
1 N 0.500 0.000 0.000
2 N 0.000 0.000 0.500
3 Li 0.500 0.500 0.500
4 Ru 0.000 0.000 0.000
5 Cd 0.000 0.500 0.000

Properties
raw formation energy	690	meV/atom
uncorrected energy	-5.061	eV/atom
magnetization	0.00	μB/f.u.
space-group type	P4/mmm

=====

[4]
# LiCdS2N

Crystalline LiCdS2N at its relaxed geometry (PBE-GGA, Alexandria).

Unit cell a=4.672 b=4.672 c=3.895 alpha=90.00 beta=90.00 gamma=90.00
Sites, in units of the cell vectors:
1 Cd 0.500 0.500 0.500
2 Li 0.000 0.000 0.000
3 N 0.000 0.000 0.500
4 S 0.000 0.500 0.000
5 S 0.500 0.000 0.000

Properties
raw formation energy	817	meV/atom
uncorrected energy	-3.064	eV/atom
magnetization	2.72	μB/f.u.
space-group type	P4/mmm

=====

[5]
# LiCdS2N

Crystalline LiCdS2N at its relaxed geometry (PBE-GGA, Alexandria).

Unit cell a=5.107 b=5.107 c=4.319 alpha=90.00 beta=90.00 gamma=90.00
Sites, in units of the cell vectors:
1 Cd 0.000 0.000 0.000
2 Li 0.500 0.500 0.500
3 S 0.000 0.500 0.000
4 N 0.000 0.000 0.500
5 S 0.500 0.000 0.000

Properties
raw formation energy	810	meV/atom
uncorrected energy	-3.072	eV/atom
magnetization	2.64	μB/f.u.
space-group type	P4/mmm

=====

[6]
# Li2CdSbN

Crystalline Li2CdSbN at its relaxed geometry (PBE-GGA, Alexandria).

Unit cell a=5.262 b=5.596 c=5.262 alpha=90.00 beta=90.00 gamma=90.00
Sites, in units of the cell vectors:
1 Li 0.500 0.000 0.000
2 Sb 0.000 0.000 0.000
3 Li 0.000 0.000 0.500
4 N 0.500 0.500 0.500
5 Cd 0.000 0.500 0.000

Properties
raw formation energy	816	meV/atom
uncorrected energy	-2.622	eV/atom
magnetization	2.44	μB/f.u.
space-group type	P4/mmm

=====

[7]
# LiSc2CdN

Crystalline LiSc2CdN at its relaxed geometry (PBE-GGA, Alexandria).

Unit cell a=4.370 b=4.370 c=4.462 alpha=90.00 beta=90.00 gamma=90.00
Sites, in units of the cell vectors:
1 N 0.000 0.000 0.000
2 Li 0.000 0.000 0.500
3 Sc 0.500 0.000 0.000
4 Sc 0.000 0.500 0.000
5 Cd 0.500 0.500 0.500

Properties
raw formation energy	-756	meV/atom
uncorrected energy	-5.520	eV/atom
magnetization	0.00	μB/f.u.
space-group type	P4/mmm

=====

[8]
# Li2ScCdN

Crystalline Li2ScCdN at its relaxed geometry (PBE-GGA, Alexandria).

Unit cell a=4.328 b=4.328 c=4.236 alpha=90.00 beta=90.00 gamma=90.00
Sites, in units of the cell vectors:
1 N 0.000 0.000 0.000
2 Li 0.000 0.500 0.000
3 Li 0.500 0.000 0.000
4 Cd 0.500 0.500 0.500
5 Sc 0.000 0.000 0.500

Properties
raw formation energy	-520	meV/atom
uncorrected energy	-4.400	eV/atom
magnetization	0.00	μB/f.u.
space-group type	P4/mmm